(1)
A relaxed NaTi3NbCu3O12 crystal, computed with PBEsol.

Computed properties:
E_form (uncorrected): -2106 meV per atom

abc: 6.4246 6.4246 6.4246
angles: 109.54 109.54 109.54
Closest atoms and distances in Å follow each position.
Positions (direct):
Na (0.0000, 0.0000, 0.0000)  12 O 2.63-2.64
Ti (0.0000, 0.0000, 0.5000)  6 O 1.96-1.98
Ti (0.0000, 0.5000, 0.0000)  6 O 1.96-1.98
Ti (0.5000, 0.0000, 0.0000)  6 O 1.96-1.98
Nb (0.5000, 0.5000, 0.5000)  6 O 2.00
Cu (0.0000, 0.5000, 0.5000)  4 O 1.93-1.94
Cu (0.5000, 0.0000, 0.5000)  4 O 1.93-1.94
Cu (0.5000, 0.5000, 0.0000)  4 O 1.93-1.94
O (0.1290, 0.3079, 0.8208)  1 Cu 1.94, 2 Ti 1.97-1.98
O (0.1739, 0.4845, 0.3060)  1 Cu 1.93, 1 Ti 1.96, 1 Nb 2.00
O (0.1792, 0.8710, 0.6921)  1 Cu 1.94, 2 Ti 1.97-1.98
O (0.3060, 0.1739, 0.4845)  1 Cu 1.93, 1 Ti 1.96, 1 Nb 2.00
O (0.3079, 0.8208, 0.1290)  1 Cu 1.94, 2 Ti 1.97-1.98
O (0.4845, 0.3060, 0.1739)  1 Cu 1.93, 1 Ti 1.96, 1 Nb 2.00
O (0.5155, 0.6940, 0.8261)  1 Cu 1.93, 1 Ti 1.96, 1 Nb 2.00
O (0.6921, 0.1792, 0.8710)  1 Cu 1.94, 2 Ti 1.97-1.98
O (0.6940, 0.8261, 0.5155)  1 Cu 1.93, 1 Ti 1.96, 1 Nb 2.00
O (0.8208, 0.1290, 0.3078)  1 Cu 1.94, 2 Ti 1.97-1.98
O (0.8261, 0.5155, 0.6940)  1 Cu 1.93, 1 Ti 1.96, 1 Nb 2.00
O (0.8710, 0.6921, 0.1792)  1 Cu 1.94, 2 Ti 1.97-1.98

***

(2)
A relaxed NaNbCu2S crystal, computed with PBEsol.

Computed properties:
E_form (uncorrected): 875 meV per atom

abc: 4.3596 4.3596 4.7362
angles: 90.00 90.00 90.00
Closest atoms and distances in Å follow each position.
Positions (direct):
Na (0.0000, 0.0000, 0.0000)  2 S 2.37
Nb (0.5000, 0.5000, 0.0000)  4 Na 3.08, 8 Cu 3.22
Cu (0.0000, 0.5000, 0.5000)  2 S 2.18
Cu (0.5000, 0.0000, 0.5000)  2 S 2.18
S (0.0000, 0.0000, 0.5000)  4 Cu 2.18, 2 Na 2.37

***

(3)
A relaxed Na3CuNi crystal, computed with PBEsol.

Computed properties:
formation energy: 0.881 eV per atom

abc: 5.1529 5.1529 5.1529
angles: 90.00 90.00 90.00
Closest atoms and distances in Å follow each position.
Positions (direct):
Na (0.0000, 0.0000, 0.5000)  2 Ni 2.58
Na (0.0000, 0.5000, 0.0000)  2 Ni 2.58
Na (0.5000, 0.0000, 0.0000)  2 Ni 2.58
Cu (0.5000, 0.5000, 0.5000)  12 Na 3.64
Ni (0.0000, 0.0000, 0.0000)  6 Na 2.58

***

(4)
A relaxed NaCu2NiOs crystal, computed with PBEsol.

Computed properties:
formation energy: 2.290 eV per atom

abc: 4.1033 4.1033 4.6731
angles: 90.00 90.00 90.00
Closest atoms and distances in Å follow each position.
Positions (direct):
Na (0.0000, 0.0000, 0.0000)  4 Cu 2.05
Cu (0.0000, 0.5000, 0.0000)  2 Na 2.05
Cu (0.5000, 0.0000, 0.0000)  2 Na 2.05
Ni (0.5000, 0.5000, 0.5000)  4 Os 2.90, 8 Cu 3.11
Os (0.0000, 0.0000, 0.5000)  2 Na 2.34

***

(5)
A relaxed NaCuNi2Sb crystal, computed with PBEsol.

Computed properties:
E_form (uncorrected): 674 meV per atom

abc: 4.5101 4.5101 4.6253
angles: 90.00 90.00 90.00
Closest atoms and distances in Å follow each position.
Positions (direct):
Na (0.0000, 0.0000, 0.0000)  4 Sb 3.19, 8 Ni 3.23
Cu (0.5000, 0.5000, 0.5000)  4 Ni 2.26, 2 Sb 2.31
Ni (0.0000, 0.5000, 0.5000)  2 Cu 2.26
Ni (0.5000, 0.0000, 0.5000)  2 Cu 2.26
Sb (0.5000, 0.5000, 0.0000)  2 Cu 2.31

***

(6)
A relaxed Na12Cu7O14 crystal, computed with PBEsol.

Computed properties:
E_form (uncorrected): -1057 meV per atom

abc: 10.6664 10.6664 5.6248
angles: 98.45 98.45 134.02
Closest atoms and distances in Å follow each position.
Positions (direct):
Na (0.0000, 0.0000, 0.0000)  4 O 2.30-2.41
Na (0.1112, 0.5720, 0.2972)  4 O 2.29-2.48
Na (0.1972, 0.8371, 0.0277)  3 O 2.28-2.32
Na (0.2514, 0.4024, 0.2939)  5 O 2.33-2.60
Na (0.4024, 0.2514, 0.2939)  5 O 2.33-2.60
Na (0.4027, 0.7069, 0.0522)  4 O 2.30-2.37
Na (0.5626, 0.5626, 0.0479)  5 O 2.33-2.46
Na (0.5720, 0.1112, 0.2972)  4 O 2.29-2.48
Na (0.7069, 0.4027, 0.0522)  4 O 2.30-2.37
Na (0.7994, 0.9706, 0.3369)  4 O 2.31-2.53
Na (0.8371, 0.1972, 0.0277)  3 O 2.28-2.32
Na (0.9706, 0.7994, 0.3369)  4 O 2.31-2.53
Cu (0.1339, 0.2766, 0.7043)  4 O 1.90-1.93
Cu (0.2766, 0.1339, 0.7043)  4 O 1.90-1.93
Cu (0.4073, 0.9795, 0.6780)  4 O 1.87-1.88
Cu (0.5417, 0.8278, 0.6504)  4 O 1.90-1.91
Cu (0.6810, 0.6810, 0.6371)  4 O 1.92-1.94
Cu (0.8278, 0.5417, 0.6504)  4 O 1.90-1.91
Cu (0.9795, 0.4073, 0.6780)  4 O 1.87-1.88
O (0.0099, 0.2930, 0.4462)  2 Cu 1.87-1.93
O (0.1086, 0.4032, 0.9380)  2 Cu 1.88-1.93
O (0.1295, 0.1295, 0.4493)  2 Cu 1.93
O (0.2621, 0.2621, 0.9515)  2 Cu 1.90
O (0.2930, 0.0099, 0.4462)  2 Cu 1.87-1.93
O (0.4032, 0.1086, 0.9380)  2 Cu 1.88-1.93
O (0.4159, 0.8534, 0.4205)  2 Cu 1.88-1.91
O (0.5220, 0.9474, 0.9051)  2 Cu 1.87-1.91
O (0.5534, 0.7012, 0.3967)  2 Cu 1.90-1.92
O (0.6757, 0.8181, 0.8948)  2 Cu 1.90-1.94
O (0.7012, 0.5534, 0.3967)  2 Cu 1.90-1.92
O (0.8181, 0.6757, 0.8948)  2 Cu 1.90-1.94
O (0.8534, 0.4159, 0.4205)  2 Cu 1.88-1.91
O (0.9474, 0.5220, 0.9051)  2 Cu 1.87-1.91

***

(7)
A relaxed NaCu3O4 crystal, computed with PBEsol.

Computed properties:
E_form (uncorrected): -787 meV per atom
energy above the most stable polymorph in this dataset: 0 meV/atom

abc: 5.3909 5.3909 5.3909
angles: 90.00 90.00 90.00
Closest atoms and distances in Å follow each position.
Positions (direct):
Na (0.0000, 0.0000, 0.0000)  8 O 2.33
Na (0.5000, 0.5000, 0.5000)  8 O 2.33
Cu (0.0000, 0.2500, 0.5000)  4 O 1.91
Cu (0.0000, 0.7500, 0.5000)  4 O 1.91
Cu (0.2500, 0.5000, 0.0000)  4 O 1.91
Cu (0.5000, 0.0000, 0.2500)  4 O 1.91
Cu (0.5000, 0.0000, 0.7500)  4 O 1.91
Cu (0.7500, 0.5000, 0.0000)  4 O 1.91
O (0.2500, 0.2500, 0.2500)  3 Cu 1.91
O (0.2500, 0.2500, 0.7500)  3 Cu 1.91
O (0.2500, 0.7500, 0.2500)  3 Cu 1.91
O (0.2500, 0.7500, 0.7500)  3 Cu 1.91
O (0.7500, 0.2500, 0.2500)  3 Cu 1.91
O (0.7500, 0.2500, 0.7500)  3 Cu 1.91
O (0.7500, 0.7500, 0.2500)  3 Cu 1.91
O (0.7500, 0.7500, 0.7500)  3 Cu 1.91

***

(8)
A relaxed NaCu3O4 crystal, computed with PBEsol.

Computed properties:
E_form (uncorrected): -724 meV per atom
energy above the most stable polymorph in this dataset: 63 meV/atom

abc: 5.9563 5.9563 8.7099
angles: 90.00 90.00 90.00
Closest atoms and distances in Å follow each position.
Positions (direct):
Na (0.0000, 0.2552, 0.0000)  6 O 2.32-2.38
Na (0.0000, 0.7448, 0.5000)  6 O 2.32-2.38
Na (0.2552, 0.0000, 0.7500)  6 O 2.32-2.38
Na (0.7448, 0.0000, 0.2500)  6 O 2.32-2.38
Cu (0.0000, 0.2491, 0.5000)  6 O 1.98-2.11
Cu (0.0000, 0.7509, 0.0000)  6 O 1.98-2.11
Cu (0.2465, 0.5000, 0.2500)  4 O 1.92-1.93
Cu (0.2491, 0.0000, 0.2500)  6 O 1.98-2.11
Cu (0.2563, 0.5000, 0.7500)  2 O 1.90
Cu (0.5000, 0.2465, 0.5000)  4 O 1.92-1.93
Cu (0.5000, 0.2563, 0.0000)  2 O 1.90
Cu (0.5000, 0.7437, 0.5000)  2 O 1.90
Cu (0.5000, 0.7535, 0.0000)  4 O 1.92-1.93
Cu (0.7437, 0.5000, 0.2500)  2 O 1.90
Cu (0.7509, 0.0000, 0.7500)  6 O 1.98-2.11
Cu (0.7535, 0.5000, 0.7500)  4 O 1.92-1.93
O (0.0219, 0.2707, 0.2731)  3 Cu 1.92-2.11
O (0.0219, 0.7293, 0.2269)  3 Cu 1.92-2.11
O (0.2707, 0.0219, 0.4769)  3 Cu 1.92-2.11
O (0.2707, 0.9781, 0.0231)  3 Cu 1.92-2.11
O (0.2718, 0.4710, 0.5330)  3 Cu 1.90-2.11
O (0.2718, 0.5290, 0.9670)  3 Cu 1.90-2.11
O (0.4710, 0.2718, 0.2170)  3 Cu 1.90-2.11
O (0.4710, 0.7282, 0.2830)  3 Cu 1.90-2.11
O (0.5290, 0.2718, 0.7830)  3 Cu 1.90-2.11
O (0.5290, 0.7282, 0.7170)  3 Cu 1.90-2.11
O (0.7282, 0.4710, 0.4670)  3 Cu 1.90-2.11
O (0.7282, 0.5290, 0.0330)  3 Cu 1.90-2.11
O (0.7293, 0.0219, 0.5231)  3 Cu 1.92-2.11
O (0.7293, 0.9781, 0.9769)  3 Cu 1.92-2.11
O (0.9781, 0.2707, 0.7269)  3 Cu 1.92-2.11
O (0.9781, 0.7293, 0.7731)  3 Cu 1.92-2.11

***

no.,energy (eV/atom),calculated density (g/cm³),volume (Å³ per atom)
1,-7.77,5.24,10.2
2,-4.18,5.07,18.0
3,-2.06,2.32,27.4
4,-3.40,8.42,15.7
5,-3.85,5.75,18.8
6,-4.71,3.68,12.9
7,-5.21,5.89,9.8
8,-5.15,5.97,9.7